# GdLuCo2 | the Alexandria database | PBE | optimized geometry
# M_tot: 1.557 μB per atom
# Calculated total energy: -8.380 eV per atom
# Calculated volume: 18.3 Å³/atom
# Space group: No. 123
data_GdLuCo2
_chemical_formula_sum 'Gd1 Lu1 Co2'
_space_group_name_H-M_alt 'P 1'
_space_group_IT_number 1
_cell_length_a 3.3203
_cell_length_b 3.3203
_cell_length_c 6.6478
_cell_angle_alpha 90.00
_cell_angle_beta 90.00
_cell_angle_gamma 90.00
loop_
_space_group_symop_operation_xyz
'x,y,z'
loop_
_atom_site_label
_atom_site_type_symbol
_atom_site_fract_x
_atom_site_fract_y
_atom_site_fract_z
Gd1 Gd 0.5000 0.5000 0.5000
Co1 Co 0.0000 0.0000 0.7595
Lu1 Lu 0.5000 0.5000 0.0000
Co2 Co 0.0000 0.0000 0.2405